# Tl2Bi3Au2

A geometry-optimized Tl2Bi3Au2 structure (PBE, Alexandria via LeMat-Bulk).

Structure (extended XYZ):
```
7
Lattice="-3.1714 -0.2872 3.2145 4.7949 -4.1901 1.1718 1.9735 7.3250 2.6016" Properties=species:S:1:pos:R:3 pbc="T T T"
Tl 0.9264 -1.7825 3.9393
Tl 2.6706 4.6302 3.0485
Bi 0.1057 2.1993 3.4854
Bi -1.5857 -0.1436 1.6072
Bi 3.4913 0.6484 3.5024
Au 2.2139 2.2966 5.5740
Au 1.3831 0.5511 1.4138
```

Spin magnetization   0.0 μB per formula unit
Energy of formation from the pure elements   -0.01 eV per atom
Crystal system   monoclinic